[1]
## CsDyBi (GGA-PBE)

Data for a geometry-optimized CsDyBi structure.

Cell: 4.3459 4.3459 8.0301 Å, 105.70 105.70 90.00°
With the nearest neighbours (Å) after each atom.
Element x y z (fractional)
Cs 0.0066 0.0066 0.0133  1 Dy 3.89, 1 Bi 4.18, 4 Cs 4.35
Dy 0.2686 0.2686 0.5373  4 Bi 3.14
Bi 0.7247 0.7247 0.4495  4 Dy 3.14

Computed properties:
Crystal system = tetragonal
Volume = 140.1 Å³/f.u.
E_form = -0.301 eV per atom
SG = I4mm
Mass density = 5978 kg/m³


[2]
## Cs3DyBi2S6 (GGA-PBE)

Data for a geometry-optimized Cs3DyBi2S6 structure.

Cell: 7.2666 7.2666 8.4070 Å, 98.28 98.28 119.99°
With the nearest neighbours (Å) after each atom.
Element x y z (fractional)
S 0.3867 0.0620 0.1860  1 Dy 2.80, 2 Bi 2.88
Bi 0.6664 0.3336 0.0000  6 S 2.88
Cs 0.8309 0.1691 0.5000  6 S 3.48-3.53
S 0.9380 0.6133 0.8140  1 Dy 2.79, 2 Bi 2.88
S 0.2624 0.2624 0.8132  1 Dy 2.80, 2 Bi 2.88
S 0.0620 0.3867 0.1860  1 Dy 2.80, 2 Bi 2.88
Dy 0.0000 0.0000 0.0000  6 S 2.79-2.80
Cs 0.1691 0.8309 0.5000  6 S 3.48-3.53
S 0.7376 0.7376 0.1868  1 Dy 2.80, 2 Bi 2.88
S 0.6133 0.9380 0.8140  1 Dy 2.79, 2 Bi 2.88
Bi 0.3336 0.6664 0.0000  6 S 2.88
Cs 0.5000 0.5000 0.5000  6 S 3.48-3.54

Computed properties:
Crystal system = monoclinic
Volume = 368.2 Å³/f.u.
SG = C2/m
Mass density = 5284 kg/m³
Formation energy from raw total energies = -1.1225 eV per atom


[3]
## Cs3Dy2BiSe6 (GGA-PBE)

Data for a geometry-optimized Cs3Dy2BiSe6 structure.

Cell: 7.4704 7.4704 8.7246 Å, 98.20 98.20 119.99°
With the nearest neighbours (Å) after each atom.
Element x y z (fractional)
Se 0.9376 0.5962 0.8127  2 Dy 2.91-2.92, 1 Bi 2.99
Bi 0.0000 0.0000 0.0000  6 Se 2.99
Dy 0.6669 0.3331 0.0000  6 Se 2.91-2.92
Cs 0.8355 0.1645 0.5000  6 Se 3.59-3.63
Se 0.2793 0.2793 0.8134  2 Dy 2.92, 1 Bi 2.99
Cs 0.5000 0.5000 0.5000  6 Se 3.57-3.63
Se 0.0624 0.4038 0.1873  2 Dy 2.91-2.92, 1 Bi 2.99
Cs 0.1645 0.8355 0.5000  6 Se 3.59-3.63
Se 0.7207 0.7207 0.1866  2 Dy 2.92, 1 Bi 2.99
Se 0.5962 0.9376 0.8127  2 Dy 2.91-2.92, 1 Bi 2.99
Dy 0.3331 0.6669 0.0000  6 Se 2.91-2.92
Se 0.4038 0.0624 0.1873  2 Dy 2.91-2.92, 1 Bi 2.99

Computed properties:
Crystal system = monoclinic
Volume = 404.2 Å³/f.u.
SG = C2/m
Mass density = 5778 kg/m³
Formation energy from raw total energies = -1.4138 eV per atom


[4]
## Cs2DyBiSe4 (GGA-PBE)

Data for a geometry-optimized Cs2DyBiSe4 structure.

Cell: 9.1535 9.1535 8.9951 Å, 119.43 119.43 90.00°
With the nearest neighbours (Å) after each atom.
Element x y z (fractional)
Se 0.2268 0.2732 0.4662  1 Dy 2.95, 2 Bi 3.05
Se 0.7732 0.7268 0.5338  1 Dy 2.95, 2 Bi 3.05
Se 0.8117 0.2780 0.0449  2 Dy 2.96, 1 Bi 3.05
Se 0.7732 0.7268 0.9662  1 Dy 2.95, 2 Bi 3.05
Bi 0.5000 0.5000 0.5000  6 Se 3.05
Cs 0.0000 0.0000 0.5000  6 Se 3.47-3.48
Cs 0.5000 0.0000 0.5000  6 Se 3.55-3.56
Cs 0.5000 0.5000 0.0000  6 Se 3.47-3.48
Cs 0.5000 0.0000 0.0000  6 Se 3.55-3.56
Dy 0.0000 0.5000 0.5000  6 Se 2.95-2.96
Bi 0.0000 0.0000 0.0000  6 Se 3.05
Se 0.2268 0.2732 0.0338  1 Dy 2.95, 2 Bi 3.05
Dy 0.0000 0.5000 0.0000  6 Se 2.95-2.96
Se 0.2220 0.6883 0.4551  2 Dy 2.96, 1 Bi 3.05
Se 0.7780 0.3117 0.5449  2 Dy 2.96, 1 Bi 3.05
Se 0.1883 0.7220 0.9551  2 Dy 2.96, 1 Bi 3.05

Computed properties:
Crystal system = orthorhombic
Volume = 271.0 Å³/f.u.
SG = Imma
Mass density = 5840 kg/m³
Formation energy from raw total energies = -1.1819 eV per atom


[5]
## Cs3Dy3BiTe8 (GGA-PBE)

Data for a geometry-optimized Cs3Dy3BiTe8 structure.

Cell: 8.9183 8.9449 10.5433 Å, 115.26 90.00 119.90°
With the nearest neighbours (Å) after each atom.
Element x y z (fractional)
Te 0.2351 0.9564 0.6912  2 Dy 3.09, 1 Bi 3.18
Te 0.2787 0.0436 0.3088  2 Dy 3.09, 1 Bi 3.18
Cs 0.5000 0.5000 0.0000  6 Te 3.84-3.86
Bi 0.0000 0.0000 0.5000  6 Te 3.18
Te 0.2351 0.4703 0.6914  2 Dy 3.09, 1 Bi 3.18
Te 0.7213 0.9564 0.6912  2 Dy 3.09, 1 Bi 3.18
Te 0.2697 0.5394 0.3092  3 Dy 3.12
Dy 0.0000 0.5000 0.5000  6 Te 3.09-3.12
Te 0.7649 0.0436 0.3088  2 Dy 3.09, 1 Bi 3.18
Te 0.7649 0.5297 0.3086  2 Dy 3.09, 1 Bi 3.18
Cs 0.0000 0.0000 0.0000  6 Te 3.83-3.86
Te 0.7303 0.4606 0.6908  3 Dy 3.12
Cs 0.0000 0.5000 0.0000  6 Te 3.84-3.86
Dy 0.5000 0.0000 0.5000  6 Te 3.09-3.12
Dy 0.5000 0.5000 0.5000  6 Te 3.09-3.12

Computed properties:
Crystal system = monoclinic
Volume = 634.7 Å³/f.u.
SG = C2/m
Mass density = 5536 kg/m³
Formation energy from raw total energies = -1.1182 eV per atom


[6]
## Cs3Dy2BiTe6 (GGA-PBE)

Data for a geometry-optimized Cs3Dy2BiTe6 structure.

Cell: 7.9658 7.9658 9.2947 Å, 98.21 98.21 120.00°
With the nearest neighbours (Å) after each atom.
Element x y z (fractional)
Cs 0.5000 0.5000 0.5000  6 Te 3.80-3.84
Te 0.2757 0.2757 0.8102  2 Dy 3.13, 1 Bi 3.19
Te 0.5977 0.9365 0.8098  2 Dy 3.13, 1 Bi 3.19
Bi 0.0000 0.0000 0.0000  6 Te 3.19
Te 0.0635 0.4023 0.1902  2 Dy 3.13, 1 Bi 3.19
Dy 0.6669 0.3331 0.0000  6 Te 3.13
Te 0.7243 0.7243 0.1898  2 Dy 3.13, 1 Bi 3.19
Te 0.9365 0.5977 0.8098  2 Dy 3.13, 1 Bi 3.19
Cs 0.1653 0.8347 0.5000  6 Te 3.81-3.85
Te 0.4023 0.0635 0.1902  2 Dy 3.13, 1 Bi 3.19
Dy 0.3331 0.6669 0.0000  6 Te 3.13
Cs 0.8347 0.1653 0.5000  6 Te 3.81-3.85

Computed properties:
Crystal system = monoclinic
Volume = 489.5 Å³/f.u.
SG = C2/m
Mass density = 5761 kg/m³
Formation energy from raw total energies = -1.1292 eV per atom


[7]
## Cs3DyBi2Te6 (GGA-PBE)

Data for a geometry-optimized Cs3DyBi2Te6 structure.

Cell: 8.0292 8.0292 9.3107 Å, 98.26 98.26 120.00°
With the nearest neighbours (Å) after each atom.
Element x y z (fractional)
Cs 0.8314 0.1686 0.5000  6 Te 3.83-3.86
Bi 0.6664 0.3336 0.0000  6 Te 3.19
Te 0.9365 0.6084 0.8094  1 Dy 3.14, 2 Bi 3.19
Dy 0.0000 0.0000 0.0000  6 Te 3.14
Te 0.0635 0.3916 0.1906  1 Dy 3.14, 2 Bi 3.19
Cs 0.5000 0.5000 0.5000  6 Te 3.83-3.87
Te 0.3916 0.0635 0.1906  1 Dy 3.14, 2 Bi 3.19
Te 0.6084 0.9365 0.8094  1 Dy 3.14, 2 Bi 3.19
Cs 0.1686 0.8314 0.5000  6 Te 3.83-3.86
Te 0.2644 0.2644 0.8088  1 Dy 3.14, 2 Bi 3.19
Bi 0.3336 0.6664 0.0000  6 Te 3.19
Te 0.7356 0.7356 0.1912  1 Dy 3.14, 2 Bi 3.19

Computed properties:
Crystal system = monoclinic
Volume = 497.9 Å³/f.u.
SG = C2/m
Mass density = 5819 kg/m³
Formation energy from raw total energies = -0.8754 eV per atom


[8]
## Cs2ErBiS4 (GGA-PBE)

Data for a geometry-optimized Cs2ErBiS4 structure.

Cell: 7.0042 8.4362 12.8744 Å, 83.52 74.22 65.47°
With the nearest neighbours (Å) after each atom.
Element x y z (fractional)
S 0.9166 0.8074 0.8940  1 Er 2.56, 1 Bi 2.72
S 0.4741 0.6926 0.3940  1 Er 2.56, 1 Bi 2.72
Cs 0.9315 0.5000 0.1370  6 S 3.83-4.14
Cs 0.5685 0.5000 0.8630  6 S 3.83-4.14
Bi 0.2500 0.5000 0.5000  4 S 2.72
S 0.6181 0.1926 0.1060  1 Er 2.56, 1 Bi 2.72
S 0.1894 0.1926 0.8940  1 Er 2.56, 1 Bi 2.72
Bi 0.5000 0.0000 0.0000  4 S 2.72
S 0.5606 0.3074 0.6060  1 Er 2.56, 1 Bi 2.72
S 0.2759 0.8074 0.1060  1 Er 2.56, 1 Bi 2.72
S 0.8334 0.6926 0.6060  1 Er 2.56, 1 Bi 2.72
Er 0.0000 0.0000 0.0000  4 S 2.56
Er 0.7500 0.5000 0.5000  4 S 2.56
S 0.1319 0.3074 0.3940  1 Er 2.56, 1 Bi 2.72
Cs 0.8185 0.0000 0.3630  6 S 3.83-4.14
Cs 0.1815 0.0000 0.6370  6 S 3.83-4.14

Computed properties:
Crystal system = orthorhombic
Volume = 333.0 Å³/f.u.
SG = Fddd
Mass density = 3841 kg/m³
Formation energy from raw total energies = -1.1279 eV per atom


[9]
## Cs3Er2BiSe6 (GGA-PBE)

Data for a geometry-optimized Cs3Er2BiSe6 structure.

Cell: 7.4352 7.4352 8.7137 Å, 98.17 98.17 119.99°
With the nearest neighbours (Å) after each atom.
Element x y z (fractional)
Er 0.3331 0.6669 0.0000  6 Se 2.89-2.90
Se 0.0622 0.4055 0.1865  2 Er 2.89-2.90, 1 Bi 2.99
Se 0.4055 0.0622 0.1865  2 Er 2.89-2.90, 1 Bi 2.99
Cs 0.8360 0.1640 0.5000  6 Se 3.58-3.63
Bi 0.0000 0.0000 0.0000  6 Se 2.99
Se 0.9378 0.5945 0.8135  2 Er 2.89-2.90, 1 Bi 2.99
Se 0.7184 0.7184 0.1855  2 Er 2.89, 1 Bi 2.99
Er 0.6669 0.3331 0.0000  6 Se 2.89-2.90
Cs 0.1640 0.8360 0.5000  6 Se 3.58-3.63
Se 0.2816 0.2816 0.8145  2 Er 2.89, 1 Bi 2.99
Se 0.5945 0.9378 0.8135  2 Er 2.89-2.90, 1 Bi 2.99
Cs 0.5000 0.5000 0.5000  6 Se 3.56-3.63

Computed properties:
Crystal system = monoclinic
Volume = 400.0 Å³/f.u.
SG = C2/m
Mass density = 5878 kg/m³
Formation energy from raw total energies = -1.4072 eV per atom


[10]
## Cs3Er2BiTe6 (GGA-PBE)

Data for a geometry-optimized Cs3Er2BiTe6 structure.

Cell: 7.9335 7.9335 9.2856 Å, 98.18 98.18 120.00°
With the nearest neighbours (Å) after each atom.
Element x y z (fractional)
Te 0.5962 0.9369 0.8107  2 Er 3.11, 1 Bi 3.19
Te 0.7221 0.7221 0.1886  2 Er 3.11, 1 Bi 3.18
Er 0.6669 0.3332 0.0000  6 Te 3.11
Cs 0.8355 0.1645 0.5000  6 Te 3.80-3.85
Te 0.4038 0.0631 0.1893  2 Er 3.11, 1 Bi 3.19
Te 0.0631 0.4038 0.1893  2 Er 3.11, 1 Bi 3.19
Cs 0.5000 0.5000 0.5000  6 Te 3.79-3.85
Bi 0.0000 0.0000 0.0000  6 Te 3.18-3.19
Cs 0.1645 0.8355 0.5000  6 Te 3.80-3.85
Te 0.2779 0.2779 0.8114  2 Er 3.11, 1 Bi 3.18
Te 0.9369 0.5962 0.8107  2 Er 3.11, 1 Bi 3.19
Er 0.3332 0.6669 0.0000  6 Te 3.11

Computed properties:
Crystal system = monoclinic
Volume = 485.2 Å³/f.u.
SG = C2/m
Mass density = 5844 kg/m³
Formation energy from raw total energies = -1.1187 eV per atom


[11]
## CsEuBi (GGA-PBE)

Data for a geometry-optimized CsEuBi structure.

Cell: 4.5739 4.5739 7.7880 Å, 107.08 107.08 90.00°
With the nearest neighbours (Å) after each atom.
Element x y z (fractional)
Eu 0.2696 0.2696 0.5392  4 Bi 3.32, 1 Cs 3.62
Cs 0.0138 0.0138 0.0276  1 Eu 3.62
Bi 0.7166 0.7166 0.4332  4 Eu 3.32

Computed properties:
Crystal system = tetragonal
Volume = 148.2 Å³/f.u.
E_form = -0.452 eV per atom
SG = I4mm
Mass density = 5533 kg/m³


[12]
## CsEuHgBi (GGA-PBE)

Data for a geometry-optimized CsEuHgBi structure.

Cell: 6.0200 6.0200 6.0200 Å, 60.00 60.00 60.00°
With the nearest neighbours (Å) after each atom.
Element x y z (fractional)
Bi 0.0000 0.0000 0.0000  4 Eu 3.69, 4 Cs 3.69
Eu 0.7500 0.7500 0.7500  4 Hg 3.69, 4 Bi 3.69
Cs 0.2500 0.2500 0.2500  4 Hg 3.69, 4 Bi 3.69
Hg 0.5000 0.5000 0.5000  4 Eu 3.69, 4 Cs 3.69

Computed properties:
Crystal system = cubic
Volume = 154.3 Å³/f.u.
E_form = -0.423 eV per atom
SG = F-43m
Mass density = 7475 kg/m³


mass density of number 8 (Cs2ErBiS4)? 3841 kg/m³